PmCd4Ag2: optimized geometry, PBE-GGA.

Unit cell a=8.5602 b=8.5602 c=4.3973 alpha=90.00 beta=90.00 gamma=90.00
With the nearest neighbours (Å) after each atom.
Sites, in units of the cell vectors:
Pm (0.0000, 0.0000, 0.0000)  4 Ag 3.23
Pm (0.5000, 0.5000, 0.5000)  4 Ag 3.23
Cd (0.0948, 0.3429, 0.5000)  3 Ag 2.79-2.86, 1 Cd 3.00
Cd (0.1571, 0.5948, 0.0000)  3 Ag 2.79-2.86, 1 Cd 3.00
Cd (0.3429, 0.0948, 0.5000)  3 Ag 2.79-2.86, 1 Cd 3.00
Cd (0.4052, 0.8429, 0.0000)  3 Ag 2.79-2.86, 1 Cd 3.00
Cd (0.5948, 0.1571, 0.0000)  3 Ag 2.79-2.86, 1 Cd 3.00
Cd (0.6571, 0.9052, 0.5000)  3 Ag 2.79-2.86, 1 Cd 3.00
Cd (0.8429, 0.4052, 0.0000)  3 Ag 2.79-2.86, 1 Cd 3.00
Cd (0.9052, 0.6571, 0.5000)  3 Ag 2.79-2.86, 1 Cd 3.00
Ag (0.1955, 0.8045, 0.5000)  6 Cd 2.79-2.86
Ag (0.3045, 0.3045, 0.0000)  6 Cd 2.79-2.86
Ag (0.6955, 0.6955, 0.0000)  6 Cd 2.79-2.86
Ag (0.8045, 0.1955, 0.5000)  6 Cd 2.79-2.86

magnetic moment	0.0	μB/cell
energy relative to the elements	-0.150	eV per atom
SG	P4_2/mnm, No. 136

=====

LiZnRu2: optimized geometry, PBE-GGA.

Unit cell a=2.7766 b=4.5624 c=9.0893 alpha=90.00 beta=90.00 gamma=90.00
With the nearest neighbours (Å) after each atom.
Sites, in units of the cell vectors:
Li (0.0000, 0.0000, 0.0000)  2 Ru 2.66, 6 Li 2.67-2.78, 2 Zn 2.72
Li (0.5000, 0.5000, 0.0000)  2 Ru 2.66, 6 Li 2.67-2.78, 2 Zn 2.72
Zn (0.0000, 0.5000, 0.7421)  6 Zn 2.67-2.78, 2 Ru 2.67, 2 Li 2.72
Zn (0.5000, 0.0000, 0.7421)  6 Zn 2.67-2.78, 2 Ru 2.67, 2 Li 2.72
Ru (0.0000, 0.0000, 0.4908)  8 Ru 2.60-2.78, 2 Zn 2.67
Ru (0.0000, 0.5000, 0.2492)  8 Ru 2.60-2.78, 2 Li 2.66
Ru (0.5000, 0.0000, 0.2492)  8 Ru 2.60-2.78, 2 Li 2.66
Ru (0.5000, 0.5000, 0.4908)  8 Ru 2.60-2.78, 2 Zn 2.67

magnetic moment	1.1	μB/cell
energy relative to the elements	0.202	eV per atom
SG	Cmm2, No. 35

=====

Tb2SmYSc2: optimized geometry, PBE-GGA.

Unit cell a=6.3169 b=17.4461 c=3.3417 alpha=90.00 beta=90.00 gamma=90.00
With the nearest neighbours (Å) after each atom.
Sites, in units of the cell vectors:
Tb (0.2226, 0.1911, 0.0000)  4 Sc 3.25-3.29, 2 Tb 3.34, 1 Y 3.62
Tb (0.2774, 0.6911, 0.5000)  4 Sc 3.25-3.29, 2 Tb 3.34, 1 Y 3.62
Tb (0.7226, 0.3089, 0.5000)  4 Sc 3.25-3.29, 2 Tb 3.34, 1 Y 3.62
Tb (0.7774, 0.8089, 0.0000)  4 Sc 3.25-3.29, 2 Tb 3.34, 1 Y 3.62
Sm (0.0000, 0.5000, 0.0000)  2 Sm 3.34, 4 Sc 3.36, 4 Y 3.57
Sm (0.5000, 0.0000, 0.5000)  2 Sm 3.34, 4 Sc 3.36, 4 Y 3.57
Y (0.0000, 0.0000, 0.0000)  2 Sc 3.10, 2 Y 3.34
Y (0.5000, 0.5000, 0.5000)  2 Sc 3.10, 2 Y 3.34
Sc (0.2214, 0.3536, 0.5000)  1 Y 3.10, 4 Tb 3.25-3.29, 2 Sc 3.34, 2 Sm 3.36
Sc (0.2786, 0.8536, 0.0000)  1 Y 3.10, 4 Tb 3.25-3.29, 2 Sc 3.34, 2 Sm 3.36
Sc (0.7214, 0.1464, 0.0000)  1 Y 3.10, 4 Tb 3.25-3.29, 2 Sc 3.34, 2 Sm 3.36
Sc (0.7786, 0.6464, 0.5000)  1 Y 3.10, 4 Tb 3.25-3.29, 2 Sc 3.34, 2 Sm 3.36

magnetic moment	0.0	μB/cell
energy relative to the elements	0.280	eV per atom
SG	Pnnm, No. 58

=====

Be3InRh: optimized geometry, PBE-GGA.

Unit cell a=4.2602 b=4.2602 c=4.2602 alpha=90.00 beta=90.00 gamma=90.00
With the nearest neighbours (Å) after each atom.
Sites, in units of the cell vectors:
Be (0.0000, 0.0000, 0.5000)  2 Rh 2.13
Be (0.0000, 0.5000, 0.0000)  2 Rh 2.13
Be (0.5000, 0.0000, 0.0000)  2 Rh 2.13
In (0.5000, 0.5000, 0.5000)  12 Be 3.01
Rh (0.0000, 0.0000, 0.0000)  6 Be 2.13

polymorph energy (0 for the lowest one)	0.0	meV/atom
magnetic moment	0.0	μB/cell
energy relative to the elements	0.280	eV per atom
SG	Pm-3m, No. 221